Record 1
HgBTe2N | the Alexandria database | PBE | relaxed; N(E_F) = 0.65 states/eV per atom; calculated volume = 30.10 A^3/atom; total moment = 0.00 μB/f.u.; E above lowest polymorph = 0.0 meV per atom; SG = P4/mmm
1.0
7.438 0.000 0.000
0.000 7.438 0.000
0.000 0.000 2.720
Hg B Te N
1 1 2 1
Direct
0.000 0.000 0.000
0.500 0.500 0.500
0.000 0.500 0.500
0.500 0.000 0.500
0.500 0.500 0.000

***

Record 2
Na3Pm2HfSe6 | the Alexandria database | PBE | relaxed; N(E_F) = 0.34 states/eV per atom; calculated volume = 25.74 A^3/atom; total energy = -62.6 eV/f.u.; total moment = 0.00 μB/f.u.; SG = C2/m
1.0
3.553 -6.157 0.000
3.553 6.157 0.000
-2.390 0.000 7.059
Na Pm Hf Se
3 2 1 6
Direct
0.000 0.000 0.000
0.330 0.670 0.000
0.670 0.330 0.000
0.166 0.834 0.500
0.834 0.166 0.500
0.500 0.500 0.500
0.112 0.423 0.268
0.267 0.267 0.730
0.423 0.112 0.268
0.577 0.888 0.732
0.733 0.733 0.270
0.888 0.577 0.732

***

Record 3
EuGdLu2 | the Alexandria database | PBE | relaxed; N(E_F) = 1.81 states/eV per atom; calculated volume = 32.42 A^3/atom; energy relative to the elements = 0.349 eV/f.u.; total moment = 15.11 μB/f.u.; E above lowest polymorph = 0.0 meV per atom; SG = P4/mmm
1.0
3.586 0.000 0.000
0.000 3.586 0.000
0.000 0.000 10.085
Eu Gd Lu
1 1 2
Direct
0.000 0.000 0.000
0.000 0.000 0.500
0.500 0.500 0.264
0.500 0.500 0.736

***

Record 4
Tm4InOs | the Alexandria database | PBE | relaxed; N(E_F) = 0.70 states/eV per atom; calculated volume = 28.37 A^3/atom; energy relative to the elements = -1.255 eV/f.u.; total moment = 0.00 μB/f.u.; E above lowest polymorph = 157.2 meV per atom; SG = C2/m
1.0
8.561 0.000 0.000
0.000 4.935 0.000
-2.851 0.000 8.060
Tm In Os
8 2 2
Direct
0.114 0.000 0.340
0.135 0.500 0.905
0.365 0.000 0.095
0.386 0.500 0.660
0.614 0.500 0.340
0.635 0.000 0.905
0.865 0.500 0.095
0.886 0.000 0.660
0.000 0.500 0.500
0.500 0.000 0.500
0.000 0.000 0.000
0.500 0.500 0.000

***

Record 5
Li2Th3Sn4 | the Alexandria database | PBE | relaxed; N(E_F) = 0.47 states/eV per atom; calculated volume = 25.71 A^3/atom; energy relative to the elements = -4.540 eV/f.u.; total moment = 0.00 μB/f.u.; SG = C2/m
1.0
5.846 -2.317 0.000
5.846 2.317 0.000
-3.009 0.000 8.542
Li Th Sn
2 3 4
Direct
0.182 0.182 0.356
0.818 0.818 0.644
0.126 0.126 0.688
0.500 0.500 0.000
0.874 0.874 0.312
0.210 0.210 0.077
0.411 0.411 0.605
0.589 0.589 0.395
0.790 0.790 0.923

***

Record 6
Dy3Ni2Ge3 | the Alexandria database | PBE | relaxed; N(E_F) = 0.37 states/eV per atom; calculated volume = 19.16 A^3/atom; energy relative to the elements = -6.574 eV/f.u.; total moment = 0.00 μB/f.u.; SG = Cmcm
1.0
2.104 -5.159 0.000
2.104 5.159 0.000
0.000 0.000 14.125
Dy Ni Ge
6 4 6
Direct
0.088 0.912 0.609
0.088 0.912 0.891
0.367 0.633 0.750
0.633 0.367 0.250
0.912 0.088 0.109
0.912 0.088 0.391
0.201 0.799 0.100
0.201 0.799 0.400
0.799 0.201 0.600
0.799 0.201 0.900
0.335 0.665 0.250
0.376 0.624 0.538
0.376 0.624 0.962
0.624 0.376 0.038
0.624 0.376 0.462
0.665 0.335 0.750

***

Record 7
NbGeCl | the Alexandria database | PBE | relaxed; N(E_F) = 0.38 states/eV per atom; calculated volume = 23.28 A^3/atom; total energy = -18.2 eV/f.u.; total moment = 0.00 μB/f.u.; SG = C2/m
1.0
10.031 0.000 0.000
0.000 3.038 0.000
-3.156 0.000 9.166
Nb Ge Cl
4 4 4
Direct
0.207 0.000 0.122
0.293 0.500 0.878
0.707 0.500 0.122
0.793 0.000 0.878
0.026 0.500 0.876
0.474 0.000 0.124
0.526 0.000 0.876
0.974 0.500 0.124
0.185 0.000 0.668
0.315 0.500 0.332
0.685 0.500 0.668
0.815 0.000 0.332

***

Record 8
BaTl3Ni | the Alexandria database | PBE | relaxed; N(E_F) = 0.99 states/eV per atom; calculated volume = 28.93 A^3/atom; energy relative to the elements = -0.605 eV/f.u.; total moment = 0.00 μB/f.u.; E above lowest polymorph = 0.0 meV per atom; SG = Pm-3m
1.0
5.250 0.000 0.000
0.000 5.250 0.000
0.000 0.000 5.250
Ba Tl Ni
1 3 1
Direct
0.000 0.000 0.000
0.000 0.500 0.500
0.500 0.000 0.500
0.500 0.500 0.000
0.500 0.500 0.500